Entry a
VASP calculation (PBE) on a geometry-optimized TaBe2Cl structure.

a b c (Å): 5.3255 5.3255 5.3255
angles (deg): 149.55 130.55 59.19
Closest atoms and distances in Å follow each position.
Fractional positions:
Ta: 0.0000 0.0000 0.0000  2 Cl 2.51, 6 Be 2.68-2.72, 2 Ta 2.80
Be: 0.2470 0.7470 0.5000  2 Be 2.15
Be: 0.4233 0.4233 0.0000  2 Be 2.15, 2 Cl 2.33
Cl: 0.6245 0.1245 0.5000  2 Be 2.33, 2 Ta 2.51

DOS at the Fermi energy	2.0	states/eV/f.u.
space group	Imm2 (44)

Entry b
VASP calculation (PBE) on a geometry-optimized TaBe2Cl structure.

a b c (Å): 2.8678 2.8678 7.3165
angles (deg): 90.00 90.00 106.29
Closest atoms and distances in Å follow each position.
Fractional positions:
Ta: 0.0000 0.0000 0.0000  4 Be 2.51
Be: 0.5000 0.5000 0.2503  2 Cl 2.51, 2 Ta 2.51
Be: 0.5000 0.5000 0.7497  2 Cl 2.51, 2 Ta 2.51
Cl: 0.0000 0.0000 0.5000  4 Be 2.51

DOS at the Fermi energy	1.2	states/eV/f.u.
space group	Cmmm (65)

Most stable to least stable, the ends of the list are entry b and entry a.

Entry a
VASP calculation (PBE) on a geometry-optimized TaBe2Cl structure.

a b c (Å): 5.1048 5.1048 5.1048
angles (deg): 146.70 132.39 59.34
Closest atoms and distances in Å follow each position.
Fractional positions:
Ta: 0.0000 0.0000 0.0000  4 Cl 2.53, 4 Be 2.67
Be: 0.2523 0.7523 0.5000  4 Be 2.53, 2 Cl 2.64, 2 Ta 2.67
Be: 0.7477 0.2477 0.5000  4 Be 2.53, 2 Cl 2.64, 2 Ta 2.67
Cl: 0.5000 0.5000 0.0000  4 Ta 2.53, 4 Be 2.64

DOS at the Fermi energy	1.9	states/eV/f.u.
space group	Immm (71)

Entry b
VASP calculation (PBE) on a geometry-optimized TaBe2Cl structure.

a b c (Å): 4.9053 4.9053 4.9053
angles (deg): 137.52 137.52 61.63
Closest atoms and distances in Å follow each position.
Fractional positions:
Ta: 0.0000 0.0000 0.0000  8 Be 2.51-2.76, 4 Cl 2.76
Be: 0.2500 0.7500 0.5000  4 Cl 2.51, 4 Ta 2.76, 4 Be 2.76
Be: 0.5000 0.5000 0.0000  4 Ta 2.51, 4 Be 2.76, 4 Cl 2.76
Cl: 0.7500 0.2500 0.5000  8 Be 2.51-2.76, 4 Ta 2.76

DOS at the Fermi energy	2.3	states/eV/f.u.
space group	I-4m2 (119)

Entry c
VASP calculation (PBE) on a geometry-optimized TaBe2Cl structure.

a b c (Å): 4.3583 4.3583 4.3583
angles (deg): 60.00 60.00 60.00
Closest atoms and distances in Å follow each position.
Fractional positions:
Ta: 0.0000 0.0000 0.0000  8 Be 2.67
Be: 0.2500 0.2500 0.2500  4 Ta 2.67, 4 Cl 2.67
Be: 0.7500 0.7500 0.7500  4 Ta 2.67, 4 Cl 2.67
Cl: 0.5000 0.5000 0.5000  8 Be 2.67

DOS at the Fermi energy	4.1	states/eV/f.u.
space group	Fm-3m (225)

Entry d
VASP calculation (PBE) on a geometry-optimized TaBe2Cl structure.

a b c (Å): 4.4681 4.4681 4.6357
angles (deg): 96.32 96.32 36.94
Closest atoms and distances in Å follow each position.
Fractional positions:
Ta: 0.0000 0.0000 0.0000  3 Cl 2.55-2.58, 5 Be 2.56-2.77, 2 Ta 2.83
Be: 0.2644 0.2644 0.7007  3 Be 2.44-2.47, 2 Cl 2.63, 2 Ta 2.70
Be: 0.5310 0.5310 0.5493  1 Cl 2.43, 3 Be 2.44-2.47, 2 Ta 2.56
Cl: 0.7336 0.7336 0.2193  3 Be 2.43-2.63, 3 Ta 2.55-2.58

DOS at the Fermi energy	2.1	states/eV/f.u.
space group	Cm (8)

Most stable to least stable, the ends of the list are entry d and entry c.

Entry a
VASP calculation (PBE) on a geometry-optimized TaBe2Cl structure.

a b c (Å): 4.4149 4.4149 2.9115
angles (deg): 90.00 90.00 90.00
Closest atoms and distances in Å follow each position.
Fractional positions:
Ta: 0.0000 0.0000 0.0000  8 Be 2.64, 2 Ta 2.91
Be: 0.0000 0.5000 0.5000  4 Ta 2.64, 4 Cl 2.64, 2 Be 2.91
Be: 0.5000 0.0000 0.5000  4 Ta 2.64, 4 Cl 2.64, 2 Be 2.91
Cl: 0.5000 0.5000 0.0000  8 Be 2.64, 2 Cl 2.91

DOS at the Fermi energy	2.9	states/eV/f.u.
space group	P4/mmm (123)

Entry b
VASP calculation (PBE) on a geometry-optimized TaBe2Cl structure.

a b c (Å): 2.8186 2.8723 7.2132
angles (deg): 90.00 90.00 90.00
Closest atoms and distances in Å follow each position.
Fractional positions:
Ta: 0.0000 0.0000 0.0000  8 Be 2.70, 4 Ta 2.82-2.87
Be: 0.5000 0.5000 0.2486  2 Cl 2.30
Be: 0.5000 0.5000 0.7514  2 Cl 2.30
Cl: 0.0000 0.5000 0.5000  4 Be 2.30

DOS at the Fermi energy	1.9	states/eV/f.u.
space group	Pmmm (47)

Most stable to least stable, the ends of the list are entry b and entry a.

Entry a
VASP calculation (PBE) on a geometry-optimized TaBeCl2 structure.

a b c (Å): 3.2345 3.2345 9.4746
angles (deg): 90.00 90.00 124.61
Closest atoms and distances in Å follow each position.
Fractional positions:
Ta: 0.0000 0.0000 0.0000  2 Cl 2.47, 2 Be 2.65
Be: 0.5000 0.5000 0.7702  2 Cl 2.01
Cl: 0.0000 0.0000 0.6287  2 Be 2.01
Cl: 0.5000 0.5000 0.2067  2 Ta 2.47

DOS at the Fermi energy	0.7	states/eV/f.u.
space group	Cmm2 (35)

Entry b
VASP calculation (PBE) on a geometry-optimized TaBeCl2 structure.

a b c (Å): 7.9755 7.9755 7.9755
angles (deg): 22.23 22.23 22.23
Closest atoms and distances in Å follow each position.
Fractional positions:
Ta: 0.0000 0.0000 0.0000  2 Cl 2.58
Be: 0.5000 0.5000 0.5000  6 Cl 2.20
Cl: 0.1107 0.1107 0.1107  3 Be 2.20
Cl: 0.8893 0.8893 0.8893  3 Be 2.20

DOS at the Fermi energy	2.3	states/eV/f.u.
space group	R-3m (166)

Entry c
VASP calculation (PBE) on a geometry-optimized TaBeCl2 structure.

a b c (Å): 7.9096 7.9096 7.9096
angles (deg): 156.74 152.47 36.34
Closest atoms and distances in Å follow each position.
Fractional positions:
Ta: 0.0000 0.0000 0.0000  4 Be 2.47, 4 Cl 2.53
Be: 0.5000 0.5000 0.0000  4 Ta 2.47, 4 Cl 2.72
Cl: 0.1309 0.6309 0.5000  2 Ta 2.53, 2 Be 2.72
Cl: 0.8691 0.3691 0.5000  2 Ta 2.53, 2 Be 2.72

DOS at the Fermi energy	1.7	states/eV/f.u.
space group	Immm (71)

Entry d
VASP calculation (PBE) on a geometry-optimized TaBeCl2 structure.

a b c (Å): 3.1980 3.1980 10.3578
angles (deg): 90.00 90.00 126.05
Closest atoms and distances in Å follow each position.
Fractional positions:
Ta: 0.0000 0.0000 0.0000  4 Cl 2.49
Be: 0.0000 0.0000 0.5000  6 Be 2.90-3.20
Cl: 0.5000 0.5000 0.1954  2 Ta 2.49
Cl: 0.5000 0.5000 0.8046  2 Ta 2.49

DOS at the Fermi energy	1.1	states/eV/f.u.
space group	Cmmm (65)

Most stable to least stable, the ends of the list are entry a and entry d.

Entry a
VASP calculation (PBE) on a geometry-optimized TaBeCl2 structure.

a b c (Å): 9.2735 9.2735 9.2735
angles (deg): 18.89 18.89 18.89
Closest atoms and distances in Å follow each position.
Fractional positions:
Ta: 0.0000 0.0000 0.0000  6 Cl 2.55
Be: 0.5000 0.5000 0.5000  2 Cl 2.71
Cl: 0.4010 0.4010 0.4010  3 Ta 2.55, 1 Be 2.71
Cl: 0.5990 0.5990 0.5990  3 Ta 2.55, 1 Be 2.71

DOS at the Fermi energy	0.8	states/eV/f.u.
space group	R-3m (166)

Entry b
VASP calculation (PBE) on a geometry-optimized TaBeCl2 structure.

a b c (Å): 4.3748 4.3748 4.3748
angles (deg): 60.00 60.00 60.00
Closest atoms and distances in Å follow each position.
Fractional positions:
Ta: 0.0000 0.0000 0.0000  8 Cl 2.68
Be: 0.5000 0.5000 0.5000  8 Cl 2.68
Cl: 0.2500 0.2500 0.2500  4 Ta 2.68, 4 Be 2.68
Cl: 0.7500 0.7500 0.7500  4 Ta 2.68, 4 Be 2.68

DOS at the Fermi energy	1.6	states/eV/f.u.
space group	Fm-3m (225)

Most stable to least stable, the ends of the list are entry a and entry b.

Entry a
VASP calculation (PBE) on a geometry-optimized TaBeCl structure.

a b c (Å): 4.1820 4.1820 4.1820
angles (deg): 60.00 60.00 60.00
Closest atoms and distances in Å follow each position.
Fractional positions:
Ta: 0.0000 0.0000 0.0000  4 Be 2.56
Be: 0.7500 0.7500 0.7500  4 Cl 2.56, 4 Ta 2.56
Cl: 0.5000 0.5000 0.5000  4 Be 2.56

DOS at the Fermi energy	4.2	states/eV/f.u.
space group	F-43m (216)

Entry b
VASP calculation (PBE) on a geometry-optimized TaBeCl structure.

a b c (Å): 4.1776 4.1776 4.1776
angles (deg): 60.00 60.00 60.00
Closest atoms and distances in Å follow each position.
Fractional positions:
Ta: 0.0000 0.0000 0.0000  4 Cl 2.56, 4 Be 2.56
Be: 0.2500 0.2500 0.2500  4 Ta 2.56
Cl: 0.7500 0.7500 0.7500  4 Ta 2.56

DOS at the Fermi energy	3.2	states/eV/f.u.
space group	F-43m (216)

Most stable to least stable, the ends of the list are entry b and entry a.